Here is crystalline KInCuMo2 at its relaxed geometry from Alexandria via LeMat-Bulk. Energies are from PBE.

Calculated values
The space group is P4/mmm (123). For the spin magnetization, the calculation gives 6.28 μB per cell.

abc: 4.9831 4.9831 4.9620
angles: 90.00 90.00 90.00
Last column: nearest neighbours and their distance in Å.
Fractional coordinates of all 5 atoms:
1 Mo 0.0000 0.5000 0.0000  2 Cu 2.49
2 Mo 0.5000 0.0000 0.0000  2 Cu 2.49
3 K 0.5000 0.5000 0.5000  8 Mo 3.52, 4 In 3.52
4 Cu 0.0000 0.0000 0.0000  2 In 2.48, 4 Mo 2.49
5 In 0.0000 0.0000 0.5000  2 Cu 2.48


Here is crystalline KInCuO3 at its relaxed geometry from Alexandria via LeMat-Bulk. Energies are from PBE.

Calculated values
The uncorrected formation energy is -110.7 kJ/mol of atoms. The space group is P2_1/m (11). For the spin magnetization, the calculation gives 2.08 μB per cell.

abc: 3.5218 7.0759 9.4134
angles: 114.20 90.00 90.00
Last column: nearest neighbours and their distance in Å.
Fractional coordinates of all 12 atoms:
1 K 0.2500 0.2156 0.1755  5 O 2.73-2.89
2 K 0.7500 0.7844 0.8245  5 O 2.73-2.89
3 In 0.2500 0.6824 0.1319  6 O 2.18-2.30
4 In 0.7500 0.3176 0.8681  6 O 2.18-2.30
5 Cu 0.2500 0.0118 0.6181  4 O 1.92-1.98
6 Cu 0.7500 0.9882 0.3819  4 O 1.92-1.98
7 O 0.7500 0.9027 0.1569  1 Cu 1.95
8 O 0.2500 0.0973 0.8431  1 Cu 1.95
9 O 0.2500 0.8815 0.3874  3 Cu 1.92-1.98
10 O 0.7500 0.1185 0.6126  3 Cu 1.92-1.98
11 O 0.7500 0.4741 0.1218  3 In 2.18-2.27
12 O 0.2500 0.5259 0.8782  3 In 2.18-2.27


Here is crystalline KIn2CuPb at its relaxed geometry from Alexandria via LeMat-Bulk. Energies are from PBE.

Calculated values
The space group is P4/mmm (123). For the spin magnetization, the calculation gives 0.00 μB per cell.

abc: 5.1995 5.1995 5.5578
angles: 90.00 90.00 90.00
Last column: nearest neighbours and their distance in Å.
Fractional coordinates of all 5 atoms:
1 Pb 0.0000 0.0000 0.5000  2 Cu 2.78
2 K 0.5000 0.5000 0.5000  4 Pb 3.68, 8 In 3.81
3 Cu 0.0000 0.0000 0.0000  4 In 2.60, 2 Pb 2.78
4 In 0.0000 0.5000 0.0000  2 Cu 2.60
5 In 0.5000 0.0000 0.0000  2 Cu 2.60


Here is crystalline K2RbInCu at its relaxed geometry from Alexandria via LeMat-Bulk. Energies are from PBE.

Calculated values
The energy above the most stable polymorph in this dataset is 0 meV per atom. The space group is P4/mmm (123). For the spin magnetization, the calculation gives 0.00 μB per cell.

abc: 6.5967 6.5967 5.1211
angles: 90.00 90.00 90.00
Last column: nearest neighbours and their distance in Å.
Fractional coordinates of all 5 atoms:
1 K 0.0000 0.5000 0.0000  2 Cu 3.30
2 K 0.5000 0.0000 0.0000  2 Cu 3.30
3 Cu 0.0000 0.0000 0.0000  2 In 2.56
4 Rb 0.5000 0.5000 0.5000  8 K 4.18, 4 In 4.66
5 In 0.0000 0.0000 0.5000  2 Cu 2.56


Here is crystalline K2RbInCu at its relaxed geometry from Alexandria via LeMat-Bulk. Energies are from PBE.

Calculated values
The energy above the most stable polymorph in this dataset is 87 meV per atom. The space group is P4/mmm (123). For the spin magnetization, the calculation gives 0.00 μB per cell.

abc: 6.9762 5.0611 6.9762
angles: 90.00 90.00 90.00
Last column: nearest neighbours and their distance in Å.
Fractional coordinates of all 5 atoms:
1 K 0.0000 0.0000 0.5000  2 In 3.49
2 K 0.5000 0.0000 0.0000  2 In 3.49
3 Cu 0.0000 0.5000 0.0000  2 In 2.53
4 Rb 0.5000 0.5000 0.5000  8 K 4.31
5 In 0.0000 0.0000 0.0000  2 Cu 2.53


Here is crystalline KRbIn2Cu at its relaxed geometry from Alexandria via LeMat-Bulk. Energies are from PBE.

Calculated values
The space group is P4/mmm (123). For the spin magnetization, the calculation gives 0.00 μB per cell.

abc: 5.2356 5.2356 6.2176
angles: 90.00 90.00 90.00
Last column: nearest neighbours and their distance in Å.
Fractional coordinates of all 5 atoms:
1 K 0.0000 0.0000 0.5000  2 Cu 3.11
2 Cu 0.0000 0.0000 0.0000  4 In 2.62
3 Rb 0.5000 0.5000 0.5000  4 K 3.70, 8 In 4.06
4 In 0.0000 0.5000 0.0000  2 Cu 2.62
5 In 0.5000 0.0000 0.0000  2 Cu 2.62


Here is crystalline KIn2CuRe at its relaxed geometry from Alexandria via LeMat-Bulk. Energies are from PBE.

Calculated values
The space group is P4/mmm (123). For the spin magnetization, the calculation gives 2.82 μB per cell.

abc: 5.0729 5.0267 5.0729
angles: 90.00 90.00 90.00
Last column: nearest neighbours and their distance in Å.
Fractional coordinates of all 5 atoms:
1 Re 0.0000 0.5000 0.0000  2 Cu 2.51
2 K 0.5000 0.5000 0.5000  8 In 3.57, 4 Re 3.59
3 Cu 0.0000 0.0000 0.0000  2 Re 2.51, 4 In 2.54
4 In 0.0000 0.0000 0.5000  2 Cu 2.54
5 In 0.5000 0.0000 0.0000  2 Cu 2.54


Here is crystalline KInCuS2 at its relaxed geometry from Alexandria via LeMat-Bulk. Energies are from PBE.

Calculated values
The uncorrected formation energy is -48.6 kJ/mol of atoms. The space group is Cmme (67). For the spin magnetization, the calculation gives 0.00 μB per cell.

abc: 5.1433 7.1763 8.1319
angles: 116.18 90.00 90.00
Last column: nearest neighbours and their distance in Å.
Fractional coordinates of all 10 atoms:
1 K 0.2477 0.7500 0.5000  4 S 3.20-3.21
2 K 0.7523 0.2500 0.5000  4 S 3.20-3.21
3 In 0.5000 0.7500 0.0000  4 S 2.80, 4 Cu 3.14
4 In 0.5000 0.2500 0.0000  4 S 2.80, 4 Cu 3.14
5 Cu 0.0000 0.0000 0.0000  2 S 2.16
6 Cu 0.0000 0.5000 0.0000  2 S 2.16
7 S 0.7489 0.8813 0.7626  1 Cu 2.16
8 S 0.7489 0.6187 0.2374  1 Cu 2.16
9 S 0.2511 0.3813 0.7626  1 Cu 2.16
10 S 0.2511 0.1187 0.2374  1 Cu 2.16


Here is crystalline KIn2CuS4 at its relaxed geometry from Alexandria via LeMat-Bulk. Energies are from PBE.

Calculated values
The uncorrected formation energy is -57.8 kJ/mol of atoms. The space group is I-42m (121). For the spin magnetization, the calculation gives 0.00 μB per cell.

abc: 5.8966 5.8966 7.3502
angles: 113.64 113.64 90.03
Last column: nearest neighbours and their distance in Å.
Fractional coordinates of all 8 atoms:
1 K 0.0002 0.0002 0.0004  4 S 2.94
2 In 0.7500 0.2500 0.5001  4 S 2.54
3 In 0.2500 0.7500 0.5001  4 S 2.54
4 Cu 0.5000 0.5000 0.0000  4 S 2.36
5 S 0.5719 0.5719 0.7321  1 Cu 2.36, 2 In 2.54
6 S 0.4283 0.8397 0.2680  1 Cu 2.36, 2 In 2.54
7 S 0.8397 0.4283 0.2680  1 Cu 2.36, 2 In 2.54
8 S 0.1602 0.1602 0.7321  1 Cu 2.36, 2 In 2.54


Here is crystalline KInCuS3 at its relaxed geometry from Alexandria via LeMat-Bulk. Energies are from PBE.

Calculated values
The uncorrected formation energy is -59.5 kJ/mol of atoms. The space group is P2_1/m (11). For the spin magnetization, the calculation gives 0.00 μB per cell.

abc: 3.8124 8.7028 9.3540
angles: 106.29 90.00 90.00
Last column: nearest neighbours and their distance in Å.
Fractional coordinates of all 12 atoms:
1 K 0.2500 0.1939 0.2316  7 S 3.25-3.40
2 K 0.7500 0.8061 0.7684  7 S 3.25-3.40
3 In 0.2500 0.6610 0.1228  5 S 2.60-2.64
4 In 0.7500 0.3390 0.8772  5 S 2.60-2.64
5 Cu 0.2500 0.0847 0.5955  4 S 2.28-2.36
6 Cu 0.7500 0.9153 0.4045  4 S 2.28-2.36
7 S 0.7500 0.8715 0.1443  1 Cu 2.36, 2 In 2.61
8 S 0.2500 0.1285 0.8557  1 Cu 2.36, 2 In 2.61
9 S 0.2500 0.8147 0.4765  3 Cu 2.28-2.30
10 S 0.7500 0.1853 0.5235  3 Cu 2.28-2.30
11 S 0.7500 0.4674 0.1644  3 In 2.60-2.64
12 S 0.2500 0.5326 0.8356  3 In 2.60-2.64


Here is crystalline K2In3CuSe6 at its relaxed geometry from Alexandria via LeMat-Bulk. Energies are from PBE.

Calculated values
The uncorrected formation energy is -73.3 kJ/mol of atoms. The space group is C2/c (15). For the spin magnetization, the calculation gives 0.00 μB per cell.

abc: 8.2592 8.2592 21.8055
angles: 84.50 84.50 90.09
Last column: nearest neighbours and their distance in Å.
Fractional coordinates of all 48 atoms:
1 K 0.7282 0.3922 0.4189  7 Se 3.37-3.70
2 K 0.6078 0.2718 0.0811  7 Se 3.37-3.70
3 K 0.2718 0.6078 0.5811  7 Se 3.37-3.70
4 K 0.3922 0.7282 0.9189  7 Se 3.37-3.70
5 K 0.8165 0.8931 0.4187  7 Se 3.38-3.69
6 K 0.1069 0.1835 0.0813  7 Se 3.38-3.69
7 K 0.1835 0.1069 0.5813  7 Se 3.38-3.69
8 K 0.8931 0.8165 0.9187  7 Se 3.38-3.69
9 In 0.2811 0.1509 0.3838  4 Se 2.62-2.63
10 In 0.8491 0.7189 0.1162  4 Se 2.62-2.63
11 In 0.7189 0.8491 0.6162  4 Se 2.62-2.63
12 In 0.1509 0.2811 0.8838  4 Se 2.62-2.63
13 In 0.3495 0.7204 0.1161  4 Se 2.63
14 In 0.2796 0.6505 0.3839  4 Se 2.63
15 In 0.6505 0.2796 0.8839  4 Se 2.63
16 In 0.7204 0.3495 0.6161  4 Se 2.63
17 In 0.5625 0.4375 0.2500  4 Se 2.65-2.66
18 In 0.4375 0.5625 0.7500  4 Se 2.65-2.66
19 In 0.0672 0.9328 0.2500  4 Se 2.65-2.66
20 In 0.9328 0.0672 0.7500  4 Se 2.65-2.66
21 Cu 0.0657 0.4348 0.2492  4 Se 2.44-2.47
22 Cu 0.5652 0.9343 0.2508  4 Se 2.44-2.47
23 Cu 0.9343 0.5652 0.7508  4 Se 2.44-2.47
24 Cu 0.4348 0.0657 0.7492  4 Se 2.44-2.47
25 Se 0.1814 0.0290 0.8190  1 Cu 2.47, 2 In 2.63-2.66
26 Se 0.9710 0.8186 0.6810  1 Cu 2.47, 2 In 2.63-2.66
27 Se 0.8186 0.9710 0.1810  1 Cu 2.47, 2 In 2.63-2.66
28 Se 0.0290 0.1814 0.3190  1 Cu 2.47, 2 In 2.63-2.66
29 Se 0.1544 0.5664 0.8194  1 Cu 2.46, 2 In 2.62-2.66
30 Se 0.4336 0.8456 0.6806  1 Cu 2.46, 2 In 2.62-2.66
31 Se 0.8456 0.4336 0.1806  1 Cu 2.46, 2 In 2.62-2.66
32 Se 0.5664 0.1544 0.3194  1 Cu 2.46, 2 In 2.62-2.66
33 Se 0.9722 0.3490 0.6813  1 Cu 2.45, 2 In 2.63-2.65
34 Se 0.6510 0.0278 0.8187  1 Cu 2.45, 2 In 2.63-2.65
35 Se 0.0278 0.6510 0.3187  1 Cu 2.45, 2 In 2.63-2.65
36 Se 0.3490 0.9722 0.1813  1 Cu 2.45, 2 In 2.63-2.65
37 Se 0.8819 0.2356 0.9584  2 In 2.63
38 Se 0.7644 0.1181 0.5416  2 In 2.63
39 Se 0.1181 0.7644 0.0416  2 In 2.63
40 Se 0.2356 0.8819 0.4584  2 In 2.63
41 Se 0.4341 0.3171 0.6804  1 Cu 2.44, 2 In 2.63-2.65
42 Se 0.6829 0.5659 0.8196  1 Cu 2.44, 2 In 2.63-2.65
43 Se 0.5659 0.6829 0.3196  1 Cu 2.44, 2 In 2.63-2.65
44 Se 0.3171 0.4341 0.1804  1 Cu 2.44, 2 In 2.63-2.65
45 Se 0.3820 0.2858 0.9587  2 In 2.63
46 Se 0.7142 0.6180 0.5413  2 In 2.63
47 Se 0.6180 0.7142 0.0413  2 In 2.63
48 Se 0.2858 0.3820 0.4587  2 In 2.63


Here is crystalline KInCuSe2 at its relaxed geometry from Alexandria via LeMat-Bulk. Energies are from PBE.

Calculated values
The uncorrected formation energy is -47.8 kJ/mol of atoms. The space group is Cmme (67). For the spin magnetization, the calculation gives 0.00 μB per cell.

abc: 5.5865 7.1533 8.1747
angles: 115.95 90.00 90.00
Last column: nearest neighbours and their distance in Å.
Fractional coordinates of all 10 atoms:
1 K 0.2495 0.7500 0.5000  4 Se 3.34-3.36
2 K 0.7505 0.2500 0.5000  4 Se 3.34-3.36
3 In 0.5000 0.7500 0.0000  4 Se 2.91
4 In 0.5000 0.2500 0.0000  4 Se 2.91
5 Cu 0.0000 0.0000 0.0000  2 Se 2.29
6 Cu 0.0000 0.5000 0.0000  2 Se 2.29
7 Se 0.7516 0.8760 0.7521  1 Cu 2.29
8 Se 0.7516 0.6240 0.2479  1 Cu 2.29
9 Se 0.2484 0.3760 0.7521  1 Cu 2.29
10 Se 0.2484 0.1240 0.2479  1 Cu 2.29


no.,energy (eV/atom)
1,-4.447
2,-4.948
3,-2.800
4,-1.883
5,-1.796
6,-2.244
7,-3.658
8,-3.741
9,-3.997
10,-4.003
11,-3.711
12,-3.476